Record 1
Entry from the Open Quantum Materials Database: an optimized crystal structure of Li2Zn2In2PtAu (PBE).

Unit cell a=4.5317 b=4.5317 c=6.4626 alpha=90.00 beta=90.00 gamma=90.00
Atoms (fractional coordinates):
Au  0.0000  0.0000  0.0000
In  0.0000  0.5000  0.2590
In  0.5000  0.0000  0.7410
Li  0.5000  0.5000  0.0000
Li  0.0000  0.0000  0.5000
Pt  0.5000  0.5000  0.5000
Zn  0.5000  0.0000  0.2598
Zn  0.0000  0.5000  0.7402

## Properties
- mass density (g cm⁻³) = 9.59
- total DFT energy (no corrections) (eV for the cell shown) = -24.542
- magnetic moment (μB per formula unit) = 0.00
- volume (Å³ per atom) = 16.59


Record 2
Entry from the Open Quantum Materials Database: an optimized crystal structure of LiZr2In2Pt2Au (PBE).

Unit cell a=4.7077 b=4.7077 c=6.6678 alpha=90.00 beta=90.00 gamma=90.00
Atoms (fractional coordinates):
Au  0.0000  0.0000  0.0000
In  0.5000  0.0000  0.2592
In  0.0000  0.5000  0.7408
Li  0.5000  0.5000  0.5000
Pt  0.5000  0.5000  0.0000
Pt  0.0000  0.0000  0.5000
Zr  0.0000  0.5000  0.2465
Zr  0.5000  0.0000  0.7535

## Properties
- mass density (g cm⁻³) = 11.31
- total DFT energy (no corrections) (eV for the cell shown) = -45.255
- magnetic moment (μB per formula unit) = 0.00
- volume (Å³ per atom) = 18.47


Record 3
Entry from the Open Quantum Materials Database: an optimized crystal structure of LiIn2AuS4 (PBE).

Unit cell a=7.0238 b=7.0238 c=7.0238 alpha=131.37 beta=131.37 gamma=71.23
Atoms (fractional coordinates):
Au  0.0000  0.0000  0.0000
In  0.5000  0.5000  0.0000
In  0.7500  0.2500  0.5000
Li  0.2500  0.7500  0.5000
S  0.8805  0.3857  0.0093
S  0.6143  0.6236  0.4948
S  0.1288  0.1195  0.5052
S  0.3764  0.8712  0.9907

## Properties
- mass density (g cm⁻³) = 4.88
- total DFT energy (no corrections) (eV for the cell shown) = -32.065
- volume (Å³ per atom) = 23.88


Record 4
Entry from the Open Quantum Materials Database: an optimized crystal structure of Li2YScIn2Au2 (PBE).

Unit cell a=4.7740 b=4.7740 c=6.7683 alpha=90.00 beta=90.00 gamma=90.00
Atoms (fractional coordinates):
Au  0.0000  0.5000  0.2379
Au  0.5000  0.0000  0.7621
In  0.5000  0.5000  0.0000
In  0.0000  0.0000  0.5000
Li  0.5000  0.0000  0.2366
Li  0.0000  0.5000  0.7634
Sc  0.0000  0.0000  0.0000
Y  0.5000  0.5000  0.5000

## Properties
- mass density (g cm⁻³) = 8.30
- total DFT energy (no corrections) (eV for the cell shown) = -33.566
- magnetic moment (μB per formula unit) = 0.00
- volume (Å³ per atom) = 19.28


Record 5
Entry from the Open Quantum Materials Database: an optimized crystal structure of Li4InSiAu2 (PBE).

Unit cell a=4.3656 b=4.3656 c=6.5000 alpha=90.00 beta=90.00 gamma=90.00
Atoms (fractional coordinates):
Au  0.0000  0.5000  0.2178
Au  0.5000  0.0000  0.7822
In  0.0000  0.0000  0.5000
Li  0.0000  0.0000  0.0000
Li  0.5000  0.0000  0.2229
Li  0.5000  0.5000  0.5000
Li  0.0000  0.5000  0.7771
Si  0.5000  0.5000  0.0000

## Properties
- mass density (g cm⁻³) = 7.57
- total DFT energy (no corrections) (eV for the cell shown) = -26.096
- volume (Å³ per atom) = 15.48


Record 6
Entry from the Open Quantum Materials Database: an optimized crystal structure of LiSmInAu (PBE).

Unit cell a=4.9105 b=4.9105 c=4.9105 alpha=60.00 beta=60.00 gamma=60.00
Atoms (fractional coordinates):
Au  0.0000  0.0000  0.0000
In  0.2500  0.2500  0.2500
Li  0.5000  0.5000  0.5000
Sm  0.7500  0.7500  0.7500

## Properties
- mass density (g cm⁻³) = 9.30
- total DFT energy (no corrections) (eV for the cell shown) = -15.139
- magnetic moment (μB per formula unit) = 0.00
- volume (Å³ per atom) = 20.93


Record 7
Entry from the Open Quantum Materials Database: an optimized crystal structure of Li4InSnAu2 (PBE).

Unit cell a=4.5993 b=4.5993 c=6.5024 alpha=90.00 beta=90.00 gamma=90.00
Atoms (fractional coordinates):
Au  0.5000  0.0000  0.2501
Au  0.0000  0.5000  0.7499
In  0.0000  0.0000  0.0000
Li  0.5000  0.5000  0.0000
Li  0.0000  0.5000  0.2500
Li  0.0000  0.0000  0.5000
Li  0.5000  0.0000  0.7500
Sn  0.5000  0.5000  0.5000

## Properties
- mass density (g cm⁻³) = 7.91
- total DFT energy (no corrections) (eV for the cell shown) = -24.949
- volume (Å³ per atom) = 17.19


Record 8
Entry from the Open Quantum Materials Database: an optimized crystal structure of Li2InSnAu2 (PBE).

Unit cell a=4.7524 b=4.7524 c=5.9928 alpha=90.00 beta=90.00 gamma=120.00
Atoms (fractional coordinates):
Au  0.3333  0.6667  0.0000
Au  0.0000  0.0000  0.5000
In  0.0000  0.0000  0.0000
Li  0.6667  0.3333  0.2505
Li  0.6667  0.3333  0.7495
Sn  0.3333  0.6667  0.5000

## Properties
- mass density (g cm⁻³) = 9.09
- total DFT energy (no corrections) (eV for the cell shown) = -19.779
- volume (Å³ per atom) = 19.54


Record 9
Entry from the Open Quantum Materials Database: an optimized crystal structure of Li2InSnAu4 (PBE).

Unit cell a=4.7139 b=4.7139 c=6.5948 alpha=90.00 beta=90.00 gamma=90.00
Atoms (fractional coordinates):
Au  0.5000  0.0000  0.2470
Au  0.0000  0.5000  0.2470
Au  0.5000  0.0000  0.7530
Au  0.0000  0.5000  0.7530
In  0.0000  0.0000  0.0000
Li  0.5000  0.5000  0.0000
Li  0.0000  0.0000  0.5000
Sn  0.5000  0.5000  0.5000

## Properties
- mass density (g cm⁻³) = 11.73
- total DFT energy (no corrections) (eV for the cell shown) = -26.852
- volume (Å³ per atom) = 18.32


Record 10
Entry from the Open Quantum Materials Database: an optimized crystal structure of LiIn2Te4Au (PBE).

Unit cell a=7.9352 b=7.9352 c=7.9352 alpha=131.68 beta=131.68 gamma=70.74
Atoms (fractional coordinates):
Au  0.0000  0.0000  0.0000
In  0.5000  0.5000  0.0000
In  0.7500  0.2500  0.5000
Li  0.2500  0.7500  0.5000
Te  0.1252  0.6357  0.0117
Te  0.3643  0.3760  0.4896
Te  0.8865  0.8748  0.5104
Te  0.6240  0.1135  0.9883

## Properties
- mass density (g cm⁻³) = 5.74
- total DFT energy (no corrections) (eV for the cell shown) = -26.675
- volume (Å³ per atom) = 34.13


Record 11
Entry from the Open Quantum Materials Database: an optimized crystal structure of Li2ZnInAu4 (PBE).

Unit cell a=4.5254 b=4.5254 c=6.5671 alpha=90.00 beta=90.00 gamma=90.00
Atoms (fractional coordinates):
Au  0.5000  0.0000  0.2673
Au  0.0000  0.5000  0.2687
Au  0.5000  0.0000  0.7313
Au  0.0000  0.5000  0.7327
In  0.0000  0.0000  0.0000
Li  0.5000  0.5000  0.0000
Li  0.0000  0.0000  0.5000
Zn  0.5000  0.5000  0.5000

## Properties
- mass density (g cm⁻³) = 12.12
- total DFT energy (no corrections) (eV for the cell shown) = -24.274
- volume (Å³ per atom) = 16.81


Record 12
Entry from the Open Quantum Materials Database: an optimized crystal structure of Li4ZnInAu2 (PBE).

Unit cell a=4.4769 b=4.4769 c=6.4064 alpha=90.00 beta=90.00 gamma=90.00
Atoms (fractional coordinates):
Au  0.5000  0.0000  0.2681
Au  0.0000  0.5000  0.7319
In  0.0000  0.0000  0.0000
Li  0.5000  0.5000  0.0000
Li  0.0000  0.5000  0.2769
Li  0.0000  0.0000  0.5000
Li  0.5000  0.0000  0.7231
Zn  0.5000  0.5000  0.5000

## Properties
- mass density (g cm⁻³) = 7.78
- total DFT energy (no corrections) (eV for the cell shown) = -21.819
- volume (Å³ per atom) = 16.05


Record 13
Entry from the Open Quantum Materials Database: an optimized crystal structure of LuInAu2 (PBE).

Unit cell a=4.8751 b=4.8751 c=4.8751 alpha=60.00 beta=60.00 gamma=60.00
Atoms (fractional coordinates):
Au  0.0000  0.0000  0.0000
Au  0.7500  0.7500  0.7500
In  0.5000  0.5000  0.5000
Lu  0.2500  0.2500  0.2500

## Properties
- mass density (g cm⁻³) = 13.86
- total DFT energy (no corrections) (eV for the cell shown) = -15.699
- magnetic moment (μB per formula unit) = 0.00
- volume (Å³ per atom) = 20.48


Record 14
Entry from the Open Quantum Materials Database: an optimized crystal structure of LuInAu (PBE).

Unit cell a=8.2966 b=8.2966 c=3.4180 alpha=90.00 beta=90.00 gamma=120.00
Atoms (fractional coordinates):
Au  0.6356  0.0000  0.0000
Au  0.3644  0.3644  0.0000
Au  0.0000  0.6356  0.0000
In  0.0000  0.0000  0.0000
In  0.6667  0.3333  0.5000
In  0.3333  0.6667  0.5000
Lu  0.2967  0.0000  0.5000
Lu  0.0000  0.2967  0.5000
Lu  0.7033  0.7033  0.5000

## Properties
- mass density (g cm⁻³) = 11.90
- total DFT energy (no corrections) (eV for the cell shown) = -34.643
- magnetic moment (μB per formula unit) = 0.01
- volume (Å³ per atom) = 22.64


Record 15
Entry from the Open Quantum Materials Database: an optimized crystal structure of LuInAu (PBE).

Unit cell a=7.2455 b=7.2455 c=4.4588 alpha=90.00 beta=90.00 gamma=120.00
Atoms (fractional coordinates):
Au  0.2473  0.0000  0.0000
Au  0.0000  0.2473  0.0000
Au  0.7527  0.7527  0.0000
In  0.6667  0.3333  0.0000
In  0.3333  0.6667  0.0000
In  0.0000  0.0000  0.5000
Lu  0.5641  0.0000  0.5000
Lu  0.4359  0.4359  0.5000
Lu  0.0000  0.5641  0.5000

## Properties
- mass density (g cm⁻³) = 11.96
- total DFT energy (no corrections) (eV for the cell shown) = -36.199
- magnetic moment (μB per formula unit) = 0.00
- volume (Å³ per atom) = 22.52


Record 16
Entry from the Open Quantum Materials Database: an optimized crystal structure of LuInAu (PBE).

Unit cell a=7.5525 b=7.5525 c=3.9930 alpha=90.00 beta=90.00 gamma=120.00
Atoms (fractional coordinates):
Au  0.6667  0.3333  0.0000
Au  0.3333  0.6667  0.0000
Au  0.0000  0.0000  0.5000
In  0.2605  0.0000  0.0000
In  0.0000  0.2605  0.0000
In  0.7395  0.7395  0.0000
Lu  0.5920  0.0000  0.5000
Lu  0.4080  0.4080  0.5000
Lu  0.0000  0.5920  0.5000

## Properties
- mass density (g cm⁻³) = 12.29
- total DFT energy (no corrections) (eV for the cell shown) = -37.909
- magnetic moment (μB per formula unit) = 0.00
- volume (Å³ per atom) = 21.92


Record 17
Entry from the Open Quantum Materials Database: an optimized crystal structure of Lu4InAuN2 (PBE).

Unit cell a=3.4296 b=3.4296 c=14.8175 alpha=90.00 beta=90.00 gamma=120.00
Atoms (fractional coordinates):
Au  0.0000  0.0000  0.0000
In  0.3333  0.6667  0.5000
Lu  0.3333  0.6667  0.1476
Lu  0.0000  0.0000  0.3262
Lu  0.0000  0.0000  0.6738
Lu  0.3333  0.6667  0.8524
N  0.6667  0.3333  0.2452
N  0.6667  0.3333  0.7548

## Properties
- mass density (g cm⁻³) = 11.44
- total DFT energy (no corrections) (eV for the cell shown) = -49.962
- magnetic moment (μB per formula unit) = 0.01
- volume (Å³ per atom) = 18.87


Record 18
Entry from the Open Quantum Materials Database: an optimized crystal structure of Lu3In3Ni2Au (PBE).

Unit cell a=7.4819 b=7.4819 c=3.8266 alpha=90.00 beta=90.00 gamma=120.00
Atoms (fractional coordinates):
Au  0.0000  0.0000  0.5000
In  0.2780  0.0000  0.0000
In  0.0000  0.2780  0.0000
In  0.7220  0.7220  0.0000
Lu  0.5950  0.0000  0.5000
Lu  0.4050  0.4050  0.5000
Lu  0.0000  0.5950  0.5000
Ni  0.6667  0.3333  0.0000
Ni  0.3333  0.6667  0.0000

## Properties
- mass density (g cm⁻³) = 10.60
- total DFT energy (no corrections) (eV for the cell shown) = -41.009
- magnetic moment (μB per formula unit) = 0.01
- volume (Å³ per atom) = 20.61


Record 19
Entry from the Open Quantum Materials Database: an optimized crystal structure of Pr2LuIn3NiAu2 (PBE).

Unit cell a=3.9605 b=7.8258 c=7.8258 alpha=120.02 beta=90.00 gamma=90.00
Atoms (fractional coordinates):
Au  0.5000  0.6539  0.3386
Au  0.5000  0.3386  0.6539
In  0.5000  0.2429  0.0048
In  0.5000  0.0048  0.2429
In  0.5000  0.7581  0.7581
Lu  0.0000  0.4022  0.4022
Ni  0.0000  0.0064  0.0064
Pr  0.0000  0.9999  0.5933
Pr  0.0000  0.5933  0.9999

## Properties
- mass density (g cm⁻³) = 9.91
- total DFT energy (no corrections) (eV for the cell shown) = -40.305
- magnetic moment (μB per formula unit) = 0.00
- volume (Å³ per atom) = 23.33


Record 20
Entry from the Open Quantum Materials Database: an optimized crystal structure of PrLu2In3NiAu2 (PBE).

Unit cell a=3.8725 b=7.7426 c=7.7426 alpha=120.56 beta=90.00 gamma=90.00
Atoms (fractional coordinates):
Au  0.5000  0.6760  0.3283
Au  0.5000  0.3283  0.6760
In  0.5000  0.9971  0.2426
In  0.5000  0.7574  0.7574
In  0.5000  0.2426  0.9971
Lu  0.0000  0.5970  0.0000
Lu  0.0000  0.0000  0.5970
Ni  0.0000  0.9942  0.9942
Pr  0.0000  0.4074  0.4074

## Properties
- mass density (g cm⁻³) = 10.70
- total DFT energy (no corrections) (eV for the cell shown) = -40.095
- magnetic moment (μB per formula unit) = 0.00
- volume (Å³ per atom) = 22.21